[1]
YTlPb2 after structural relaxation. Source: Alexandria, functional PBE-GGA.

Computed properties:
For the calculated volume, the calculation gives 114.1 Å³ per cell. For the calculated formation energy, the calculation gives -0.285 eV per atom.

Unit cell a=4.807 b=4.807 c=4.940 alpha=90.00 beta=90.00 gamma=90.00
Space group P4/mmm (No. 123)
Asymmetric unit:
Y 0.000 0.000 0.000 (multiplicity 1)
Tl 0.500 0.500 0.000 (multiplicity 1)
Pb 0.000 0.500 0.500 (multiplicity 2)

***

[2]
YTlPb6 after structural relaxation. Source: Alexandria, functional PBE-GGA.

Computed properties:
For the calculated volume, the calculation gives 242.7 Å³ per cell. For the calculated formation energy, the calculation gives -0.120 eV per atom.

Unit cell a=4.881 b=4.881 c=10.186 alpha=90.00 beta=90.00 gamma=90.00
Space group P4/mmm (No. 123)
Asymmetric unit:
Y 0.000 0.000 0.000 (multiplicity 1)
Tl 0.000 0.000 0.500 (multiplicity 1)
Pb 0.000 0.500 0.245 (multiplicity 4)
Pb 0.500 0.500 0.000 (multiplicity 1)
Pb 0.500 0.500 0.500 (multiplicity 1)

***

[3]
Y4Tl5Pb after structural relaxation. Source: Alexandria, functional PBE-GGA.

Computed properties:
For the calculated volume, the calculation gives 553.7 Å³ per cell. For the calculated formation energy, the calculation gives -0.331 eV per atom.

Unit cell a=17.528 b=4.919 c=6.696 alpha=90.00 beta=106.41 gamma=90.00
Space group C2/m (No. 12)
Asymmetric unit:
Y 0.085 0.000 0.328 (multiplicity 4)
Y 0.200 0.500 0.120 (multiplicity 4)
Tl 0.000 0.500 0.500 (multiplicity 2)
Tl 0.109 0.000 0.832 (multiplicity 4)
Tl 0.204 0.500 0.606 (multiplicity 4)
Pb 0.000 0.500 0.000 (multiplicity 2)

***

[4]
Y3Tl2Pb after structural relaxation. Source: Alexandria, functional PBE-GGA.

Computed properties:
For the calculated volume, the calculation gives 333.0 Å³ per cell. For the calculated formation energy, the calculation gives -0.403 eV per atom.

Unit cell a=5.116 b=15.279 c=4.260 alpha=90.00 beta=90.00 gamma=90.00
Space group Cmmm (No. 65)
Asymmetric unit:
Y 0.000 0.000 0.000 (multiplicity 2)
Y 0.000 0.334 0.000 (multiplicity 4)
Tl 0.000 0.170 0.500 (multiplicity 4)
Pb 0.000 0.500 0.500 (multiplicity 2)

***

| no. | M_tot (μB/f.u.) |
| --- | --- |
| 1 | 0.0 |
| 2 | 0.0 |
| 3 | 0.0 |
| 4 | 0.0 |